# KIn2Au2, relaxed, DFT PBE-GGA
data_KIn2Au2
_symmetry_space_group_name_H-M 'P -1'
_symmetry_Int_Tables_number 2
_cell_length_a 6.613
_cell_length_b 6.799
_cell_length_c 7.912
_cell_angle_alpha 115.35
_cell_angle_beta 107.41
_cell_angle_gamma 94.11
loop_
_symmetry_equiv_pos_as_xyz
'x,y,z'
'-x,-y,-z'
loop_
_atom_site_label
_atom_site_fract_x
_atom_site_fract_y
_atom_site_fract_z
K1 0.148 0.283 0.352
In1 0.226 0.425 0.922
In2 0.397 0.015 0.691
Au1 0.213 0.753 0.283
Au2 0.455 0.749 0.876
# - calculated total energy (eV/atom) = -2.87
# - excess energy over the best structure of this formula in the dataset (meV per atom) = 73
# - E_form (meV per atom) = -240

***

# K3InAu8, relaxed, DFT PBE-GGA
data_K3InAu8
_symmetry_space_group_name_H-M 'R 3 m'
_symmetry_Int_Tables_number 160
_symmetry_space_group_name_Hall 'R 3 -2"'
_cell_length_a 5.8115
_cell_length_b 5.8115
_cell_length_c 28.0106
_cell_angle_alpha 90.00
_cell_angle_beta 90.00
_cell_angle_gamma 120.00
loop_
_atom_site_label
_atom_site_fract_x
_atom_site_fract_y
_atom_site_fract_z
K1 0.0000 0.0000 0.0000
K2 0.0000 0.0000 0.1256
K3 0.0000 0.0000 0.6254
In1 0.0000 0.0000 0.5013
Au1 0.0000 0.0000 0.3128
Au2 0.0000 0.0000 0.8130
Au3 0.0036 0.5018 0.0650
Au4 0.1676 0.3351 0.8945
# - calculated total energy (eV/atom) = -2.92
# - E_form (meV per atom) = -228

***

# K2In3Au2, relaxed, DFT PBE-GGA
data_K2In3Au2
_symmetry_space_group_name_H-M 'C 1 2/m 1'
_symmetry_Int_Tables_number 12
_cell_length_a 12.374
_cell_length_b 4.723
_cell_length_c 8.221
_cell_angle_alpha 90.00
_cell_angle_beta 121.46
_cell_angle_gamma 90.00
loop_
_symmetry_equiv_pos_as_xyz
'x,y,z'
'-x,-y,-z'
'-x,y,-z'
'x,-y,z'
'x+1/2,y+1/2,z'
'-x+1/2,-y+1/2,-z'
'-x+1/2,y+1/2,-z'
'x+1/2,-y+1/2,z'
loop_
_atom_site_label
_atom_site_fract_x
_atom_site_fract_y
_atom_site_fract_z
K1 0.144 0.000 0.277
In1 0.000 0.500 0.500
In2 0.141 0.500 0.938
Au1 0.123 0.000 0.711
# - calculated total energy (eV/atom) = -2.69
# - E_form (meV per atom) = -262

***

# K4InAu, relaxed, DFT PBE-GGA
data_K4InAu
_symmetry_space_group_name_H-M 'F -4 3 m'
_symmetry_Int_Tables_number 216
_symmetry_space_group_name_Hall 'F -4 2 3'
_cell_length_a 16.042
_cell_length_b 16.042
_cell_length_c 16.042
_cell_angle_alpha 90.00
_cell_angle_beta 90.00
_cell_angle_gamma 90.00
loop_
_atom_site_label
_atom_site_fract_x
_atom_site_fract_y
_atom_site_fract_z
K1 0.000 0.000 0.197
K2 0.048 0.250 0.250
K3 0.103 0.103 0.603
In1 0.178 0.178 0.822
Au1 0.108 0.108 0.392
# - calculated total energy (eV/atom) = -1.88
# - excess energy over the best structure of this formula in the dataset (meV per atom) = 0
# - E_form (meV per atom) = -150

***

# K3InAu, relaxed, DFT PBE-GGA
data_K3InAu
_symmetry_space_group_name_H-M 'P m -3 m'
_symmetry_Int_Tables_number 221
_symmetry_space_group_name_Hall '-P 4 2 3'
_cell_length_a 6.271
_cell_length_b 6.271
_cell_length_c 6.271
_cell_angle_alpha 90.00
_cell_angle_beta 90.00
_cell_angle_gamma 90.00
loop_
_atom_site_label
_atom_site_fract_x
_atom_site_fract_y
_atom_site_fract_z
K1 0.000 0.000 0.500
In1 0.500 0.500 0.500
Au1 0.000 0.000 0.000
# - calculated total energy (eV/atom) = -1.85
# - excess energy over the best structure of this formula in the dataset (meV per atom) = 185
# - E_form (meV per atom) = 11

***

# KInAu3, relaxed, DFT PBE-GGA
data_KInAu3
_symmetry_space_group_name_H-M 'P m -3 m'
_symmetry_Int_Tables_number 221
_symmetry_space_group_name_Hall '-P 4 2 3'
_cell_length_a 5.785
_cell_length_b 5.785
_cell_length_c 5.785
_cell_angle_alpha 90.00
_cell_angle_beta 90.00
_cell_angle_gamma 90.00
loop_
_atom_site_label
_atom_site_fract_x
_atom_site_fract_y
_atom_site_fract_z
K1 0.000 0.000 0.000
In1 0.500 0.500 0.500
Au1 0.000 0.000 0.500
# - calculated total energy (eV/atom) = -1.89
# - excess energy over the best structure of this formula in the dataset (meV per atom) = 1069
# - E_form (meV per atom) = 847

***

# KIn2Au, relaxed, DFT PBE-GGA
data_KIn2Au
_symmetry_space_group_name_H-M 'R -3 m'
_symmetry_Int_Tables_number 166
_symmetry_space_group_name_Hall '-R 3 2"'
_cell_length_a 4.7941
_cell_length_b 4.7941
_cell_length_c 19.1010
_cell_angle_alpha 90.00
_cell_angle_beta 90.00
_cell_angle_gamma 120.00
loop_
_atom_site_label
_atom_site_fract_x
_atom_site_fract_y
_atom_site_fract_z
K1 0.0000 0.0000 0.0000
In1 0.0000 0.0000 0.2065
Au1 0.0000 0.0000 0.5000
# - calculated total energy (eV/atom) = -2.66
# - E_form (meV per atom) = -201

***

# K3In6Au5, relaxed, DFT PBE-GGA
data_K3In6Au5
_symmetry_space_group_name_H-M 'P m m n'
_symmetry_Int_Tables_number 59
_cell_length_a 4.633
_cell_length_b 14.167
_cell_length_c 11.855
_cell_angle_alpha 90.00
_cell_angle_beta 90.00
_cell_angle_gamma 90.00
loop_
_symmetry_equiv_pos_as_xyz
'x,y,z'
'-x,-y,-z'
'-x+1/2,-y+1/2,z'
'x+1/2,y+1/2,-z'
'x+1/2,-y,-z'
'-x+1/2,y,z'
'-x,y+1/2,-z'
'x,-y+1/2,z'
loop_
_atom_site_label
_atom_site_fract_x
_atom_site_fract_y
_atom_site_fract_z
K1 0.250 0.102 0.243
K2 0.250 0.750 0.267
In1 0.250 0.053 0.599
In2 0.250 0.250 0.479
In3 0.250 0.250 0.961
In4 0.250 0.574 0.017
Au1 0.250 0.073 0.838
Au2 0.250 0.636 0.518
Au3 0.250 0.750 0.907
# - calculated total energy (eV/atom) = -2.85
# - E_form (meV per atom) = -273

***

# KLiIn2Au4, relaxed, DFT PBE-GGA
data_KLiIn2Au4
_symmetry_space_group_name_H-M 'R -3 m'
_symmetry_Int_Tables_number 166
_symmetry_space_group_name_Hall '-R 3 2"'
_cell_length_a 4.6895
_cell_length_b 4.6895
_cell_length_c 29.3118
_cell_angle_alpha 90.00
_cell_angle_beta 90.00
_cell_angle_gamma 120.00
loop_
_atom_site_label
_atom_site_fract_x
_atom_site_fract_y
_atom_site_fract_z
K1 0.0000 0.0000 0.0000
Li1 0.0000 0.0000 0.5000
In1 0.0000 0.0000 0.2380
Au1 0.0000 0.0000 0.1402
Au2 0.0000 0.0000 0.4094
# - calculated total energy (eV/atom) = -3.01
# - E_form (meV per atom) = -312

***

# K2LiIn12Au3, relaxed, DFT PBE-GGA
data_K2LiIn12Au3
_symmetry_space_group_name_H-M 'R -3 m'
_symmetry_Int_Tables_number 166
_symmetry_space_group_name_Hall '-R 3 2"'
_cell_length_a 7.4854
_cell_length_b 7.4854
_cell_length_c 32.3208
_cell_angle_alpha 90.00
_cell_angle_beta 90.00
_cell_angle_gamma 120.00
loop_
_atom_site_label
_atom_site_fract_x
_atom_site_fract_y
_atom_site_fract_z
K1 0.0000 0.0000 0.1464
Li1 0.0000 0.0000 0.5000
In1 0.0390 0.5195 0.0989
In2 0.0586 0.5293 0.6214
Au1 0.0000 0.5000 0.0000
# - calculated total energy (eV/atom) = -2.65
# - E_form (meV per atom) = -51

***

# KLiIn2Au, relaxed, DFT PBE-GGA
data_KLiIn2Au
_symmetry_space_group_name_H-M 'P 4/m m m'
_symmetry_Int_Tables_number 123
_symmetry_space_group_name_Hall '-P 4 2'
_cell_length_a 5.380
_cell_length_b 5.380
_cell_length_c 5.290
_cell_angle_alpha 90.00
_cell_angle_beta 90.00
_cell_angle_gamma 90.00
loop_
_atom_site_label
_atom_site_fract_x
_atom_site_fract_y
_atom_site_fract_z
K1 0.000 0.000 0.000
Li1 0.500 0.500 0.000
In1 0.000 0.500 0.500
Au1 0.500 0.500 0.500
# - calculated total energy (eV/atom) = -2.49
# - E_form (meV per atom) = -132

***

# K2LiIn3Au4, relaxed, DFT PBE-GGA
data_K2LiIn3Au4
_symmetry_space_group_name_H-M 'P -4 m 2'
_symmetry_Int_Tables_number 115
_cell_length_a 4.815
_cell_length_b 4.815
_cell_length_c 11.354
_cell_angle_alpha 90.00
_cell_angle_beta 90.00
_cell_angle_gamma 90.00
loop_
_symmetry_equiv_pos_as_xyz
'x,y,z'
'y,-x,-z'
'-x,-y,z'
'-y,x,-z'
'-x,y,z'
'-y,-x,-z'
'x,-y,z'
'y,x,-z'
loop_
_atom_site_label
_atom_site_fract_x
_atom_site_fract_y
_atom_site_fract_z
K1 0.000 0.500 0.247
Li1 0.000 0.000 0.500
In1 0.000 0.500 0.873
In2 0.500 0.500 0.500
Au1 0.000 0.000 0.000
Au2 0.000 0.500 0.626
Au3 0.500 0.500 0.000
# - calculated total energy (eV/atom) = -2.87
# - E_form (meV per atom) = -326

***

Listing volume for the structures above in their given order: 149.2 273.1 204.9 258.0 246.6 193.6 126.7 389.1 186.1 522.8 153.1 263.2 Å³/f.u..